No. 1
Density functional theory data (SCAN) for a crystal of ZrAsRhF2 relaxed with PBEsol.

Cell: 3.879 3.879 5.821 Å, 90.00 90.00 90.00°
Sites, in units of the cell vectors:
Zr 0.000 0.000 0.500
F 0.000 0.500 0.000
Rh 0.500 0.500 0.500
F 0.500 0.000 0.000
As 0.000 0.000 0.000

The uncorrected formation energy is -0.71 eV/atom. As for the space group: P4/mmm. The calculation puts the density of states at the Fermi level at 0.64 states/eV/atom.

=====

No. 2
Density functional theory data (SCAN) for a crystal of Co3TcO relaxed with PBEsol.

Cell: 4.317 4.317 4.317 Å, 90.00 90.00 90.00°
Sites, in units of the cell vectors:
Co 0.000 0.000 0.500
O 0.500 0.500 0.500
Tc 0.000 0.000 0.000
Co 0.000 0.500 0.000
Co 0.500 0.000 0.000

The uncorrected formation energy is 1.88 eV/atom. As for the space group: Pm-3m. The value obtained for the energy above the most stable polymorph in this dataset is 1778 meV per atom. The calculation puts the density of states at the Fermi level at 0.72 states/eV/atom.

=====

No. 3
Density functional theory data (SCAN) for a crystal of BaWS2 relaxed with PBEsol.

Cell: 3.618 3.618 9.076 Å, 78.50 78.50 60.00°
Sites, in units of the cell vectors:
W 0.000 0.000 0.000
Ba 0.500 0.500 0.500
S 0.916 0.916 0.252
S 0.084 0.084 0.748

The uncorrected formation energy is 0.08 eV/atom. As for the space group: R-3m. The calculation puts the density of states at the Fermi level at 0.60 states/eV/atom.

=====

No. 4
Density functional theory data (SCAN) for a crystal of U3Bi4Rh3 relaxed with PBEsol.

Cell: 8.335 8.335 8.335 Å, 109.47 109.47 109.47°
Sites, in units of the cell vectors:
Bi 0.321 0.321 0.821
U 0.250 0.875 0.625
Bi 0.679 0.000 0.000
Bi 0.500 0.179 0.500
U 0.125 0.250 0.375
Bi 0.000 0.500 0.679
U 0.625 0.375 0.250
Rh 0.750 0.125 0.375
Bi 0.000 0.500 0.179
Rh 0.250 0.375 0.125
Rh 0.375 0.625 0.750
Bi 0.179 0.000 0.000
Rh 0.625 0.250 0.875
U 0.375 0.750 0.125
U 0.875 0.125 0.750
U 0.750 0.625 0.875
Rh 0.875 0.750 0.625
Bi 0.500 0.679 0.500
Rh 0.125 0.875 0.250
Bi 0.821 0.821 0.321

As for the space group: I-43d. The calculation puts the density of states at the Fermi level at 2.29 states/eV/atom. As for the formation energy: -2.08 eV/f.u.

=====

No. 5
Density functional theory data (SCAN) for a crystal of AlAgRu relaxed with PBEsol.

Cell: 4.207 4.207 4.207 Å, 60.00 60.00 60.00°
Sites, in units of the cell vectors:
Ag 0.000 0.000 0.000
Al 0.500 0.500 0.500
Ru 0.250 0.250 0.250

As for the space group: F-43m. The calculation puts the density of states at the Fermi level at 0.41 states/eV/atom. As for the formation energy: 1.19 eV/f.u.

=====

No. 6
Density functional theory data (SCAN) for a crystal of MgBi relaxed with PBEsol.

Cell: 3.482 5.376 5.976 Å, 100.38 106.94 90.00°
Sites, in units of the cell vectors:
Mg 0.879 0.197 0.759
Mg 0.121 0.803 0.241
Bi 0.623 0.293 0.246
Bi 0.377 0.707 0.754

As for the space group: C2/m. The calculation puts the density of states at the Fermi level at 0.38 states/eV/atom. As for the formation energy: -0.25 eV/f.u.

=====

No. 7
Density functional theory data (SCAN) for a crystal of NaFe2O4 relaxed with PBEsol.

Cell: 2.836 4.710 5.763 Å, 107.02 89.98 90.00°
Sites, in units of the cell vectors:
O 0.500 0.771 0.816
Na 0.000 0.500 0.500
Fe 0.000 0.000 0.000
O 0.000 0.274 0.819
O 0.500 0.229 0.184
Fe 0.500 0.500 0.000
O 0.000 0.726 0.181

The uncorrected formation energy is -1.68 eV/atom. As for the space group: P2/m. The value obtained for the energy above the most stable polymorph in this dataset is 14 meV per atom. The calculation puts the density of states at the Fermi level at 0.27 states/eV/atom.

=====

No. 8
Density functional theory data (SCAN) for a crystal of Li2AgAs2 relaxed with PBEsol.

Cell: 3.934 6.686 6.686 Å, 90.00 90.00 90.00°
Sites, in units of the cell vectors:
Li 0.500 0.333 0.167
As 0.000 0.628 0.128
Li 0.500 0.667 0.833
Li 0.500 0.833 0.333
As 0.000 0.872 0.628
Ag 0.000 0.500 0.500
Li 0.500 0.167 0.667
As 0.000 0.128 0.372
Ag 0.000 0.000 0.000
As 0.000 0.372 0.872

As for the space group: P4/mbm. The calculation puts the density of states at the Fermi level at 0.22 states/eV/atom. As for the formation energy: -2.13 eV/f.u.

=====

Question: Which formula does entry 3 have?
Answer: BaWS2

=====

Question: Number 6 is which compound?
Answer: MgBi